ScTiRePt | PBE | optimized geometry

The structure in extended XYZ format:
```
4
Lattice="-3.473 -0.268 -2.865 0.755 -0.421 -4.426 -0.910 -3.895 -2.083" Properties=species:S:1:pos:R:3 pbc="T T T"
Pt 0.000 0.000 0.000
Ti -0.907 -1.146 -2.343
Re -1.814 -2.292 -4.687
Sc -2.721 -3.438 -7.030
```

Total magnetization: 0.00 μB/f.u.
DFT formation energy: -0.65 eV/atom
VASP energy: -8.832 eV/atom